[1]
Material: NaSrZrBiO6
Method: DFT, PBE
State: optimized geometry

## Properties
formation energy without anion corrections: -2.12 eV per atom
calculated volume: 14.71 Å³ per atom

a = 5.925 Å, b = 5.925 Å, c = 5.925 Å
α = 60.00°, β = 60.00°, γ = 60.00°
Sites, in units of the cell vectors:
Na: 0.250 0.250 0.250
Sr: 0.750 0.750 0.750
Zr: 0.500 0.500 0.500
Bi: 0.000 0.000 0.000
O: 0.251 0.749 0.251
O: 0.749 0.251 0.749
O: 0.251 0.749 0.749
O: 0.749 0.251 0.251
O: 0.251 0.251 0.749
O: 0.749 0.749 0.251


[2]
Material: NaTaBiO2
Method: DFT, PBE
State: optimized geometry

## Properties
formation energy without anion corrections: 0.83 eV per atom
calculated volume: 16.91 Å³ per atom

a = 4.159 Å, b = 4.888 Å, c = 4.159 Å
α = 90.00°, β = 90.00°, γ = 90.00°
Sites, in units of the cell vectors:
Na: 0.000 0.000 0.000
Bi: 0.000 0.500 0.000
O: 0.000 0.000 0.500
O: 0.500 0.000 0.000
Ta: 0.500 0.500 0.500


[3]
Material: NaTa4Bi5O18
Method: DFT, PBE
State: optimized geometry

## Properties
formation energy without anion corrections: -2.14 eV per atom
calculated volume: 14.02 Å³ per atom

a = 13.031 Å, b = 13.031 Å, c = 5.586 Å
α = 90.00°, β = 90.00°, γ = 155.56°
Sites, in units of the cell vectors:
Na: 0.261 0.261 0.473
Ta: 0.335 0.171 0.946
Ta: 0.171 0.335 0.946
Ta: 0.672 0.837 0.455
Ta: 0.837 0.672 0.455
Bi: 0.760 0.760 0.004
Bi: 0.514 0.913 0.044
Bi: 0.913 0.514 0.044
Bi: 0.473 0.073 0.542
Bi: 0.073 0.473 0.542
O: 0.872 0.041 0.141
O: 0.041 0.872 0.141
O: 0.130 0.952 0.647
O: 0.952 0.130 0.647
O: 0.734 0.232 0.265
O: 0.232 0.734 0.265
O: 0.259 0.760 0.763
O: 0.760 0.259 0.763
O: 0.414 0.539 0.205
O: 0.539 0.414 0.205
O: 0.599 0.470 0.714
O: 0.470 0.599 0.714
O: 0.174 0.174 0.915
O: 0.824 0.824 0.407
O: 0.482 0.173 0.940
O: 0.173 0.482 0.940
O: 0.515 0.823 0.429
O: 0.823 0.515 0.429


[4]
Material: Na2TaBiO6
Method: DFT, PBE
State: optimized geometry

## Properties
formation energy without anion corrections: -1.85 eV per atom
calculated volume: 12.96 Å³ per atom

a = 5.654 Å, b = 5.654 Å, c = 5.708 Å
α = 60.31°, β = 60.31°, γ = 60.00°
Sites, in units of the cell vectors:
Na: 0.553 0.553 0.340
Na: 0.056 0.056 0.831
Ta: 0.316 0.316 0.052
Bi: 0.816 0.816 0.553
O: 0.565 0.162 0.282
O: 0.162 0.992 0.282
O: 0.992 0.565 0.282
O: 0.472 0.646 0.798
O: 0.646 0.084 0.798
O: 0.084 0.472 0.798


[5]
Material: Na4Ta3BiO12
Method: DFT, PBE
State: optimized geometry

## Properties
formation energy without anion corrections: -2.21 eV per atom
calculated volume: 13.07 Å³ per atom

a = 6.977 Å, b = 6.977 Å, c = 6.977 Å
α = 109.47°, β = 109.47°, γ = 109.47°
Sites, in units of the cell vectors:
Na: 0.500 0.500 0.500
Na: 0.000 0.000 0.500
Na: 0.500 0.000 0.000
Na: 0.000 0.500 0.000
Ta: 0.500 0.000 0.500
Ta: 0.500 0.500 0.000
Ta: 0.000 0.500 0.500
Bi: 0.000 0.000 0.000
O: 0.250 0.500 0.750
O: 0.743 0.000 0.743
O: 0.257 0.000 0.257
O: 0.750 0.500 0.250
O: 0.743 0.743 0.000
O: 0.257 0.257 0.000
O: 0.750 0.250 0.500
O: 0.250 0.750 0.500
O: 0.500 0.250 0.750
O: 0.000 0.743 0.743
O: 0.500 0.750 0.250
O: 0.000 0.257 0.257


[6]
Material: Na3Tb2BiO6
Method: DFT, PBE
State: optimized geometry

## Properties
formation energy without anion corrections: -2.30 eV per atom
calculated volume: 14.76 Å³ per atom

a = 6.027 Å, b = 6.027 Å, c = 5.981 Å
α = 99.70°, β = 99.70°, γ = 119.99°
Sites, in units of the cell vectors:
Na: 0.166 0.834 0.500
Na: 0.834 0.166 0.500
Na: 0.500 0.500 0.500
Tb: 0.333 0.667 0.000
Tb: 0.667 0.333 0.000
Bi: 0.000 0.000 0.000
O: 0.928 0.581 0.783
O: 0.727 0.727 0.218
O: 0.072 0.419 0.217
O: 0.581 0.928 0.783
O: 0.273 0.273 0.782
O: 0.419 0.072 0.217


[7]
Material: Na2Tb2BiO6
Method: DFT, PBE
State: optimized geometry

## Properties
formation energy without anion corrections: -2.24 eV per atom
calculated volume: 16.12 Å³ per atom

a = 6.012 Å, b = 6.012 Å, c = 5.968 Å
α = 98.83°, β = 98.83°, γ = 120.21°
Site moments in Bohr magnetons follow the coordinates.
Sites, in units of the cell vectors:
Na: 0.836 0.164 0.000  0.00
Na: 0.164 0.836 0.000  0.00
Tb: 0.335 0.665 0.500  0.01
Tb: 0.665 0.335 0.500  0.01
Bi: 0.000 0.000 0.500  0.11
O: 0.744 0.744 0.707  0.13
O: 0.051 0.395 0.703  0.08
O: 0.256 0.256 0.293  0.13
O: 0.395 0.051 0.703  0.08
O: 0.949 0.605 0.297  0.08
O: 0.605 0.949 0.297  0.08


[8]
Material: Na2TcBiO6
Method: DFT, PBE
State: optimized geometry

## Properties
formation energy without anion corrections: -1.37 eV per atom
calculated volume: 16.00 Å³ per atom

a = 4.817 Å, b = 5.763 Å, c = 5.763 Å
α = 90.00°, β = 90.00°, γ = 90.00°
Sites, in units of the cell vectors:
Na: 0.005 0.500 0.000
Na: 0.005 0.000 0.500
Tc: 0.603 0.000 0.000
Bi: 0.596 0.500 0.500
O: 0.708 0.219 0.219
O: 0.708 0.219 0.781
O: 0.165 0.500 0.500
O: 0.240 0.000 0.000
O: 0.708 0.781 0.781
O: 0.708 0.781 0.219


> Which value of calculated volume does entry 6 give?

14.76 Å³ per atom